# Y5BiS4 | Alexandria via LeMat-Bulk | PBE-GGA | relaxed
data_Y5BiS4
_chemical_formula_sum 'Y10 Bi2 S8'
_cell_length_a 13.386
_cell_length_b 4.012
_cell_length_c 9.948
_cell_angle_alpha 90.00
_cell_angle_beta 119.40
_cell_angle_gamma 90.00
_symmetry_space_group_name_H-M 'C 1 2/m 1'
_symmetry_Int_Tables_number 12
_symmetry_space_group_name_Hall '-C 2y'
loop_
_atom_site_label
_atom_site_fract_x
_atom_site_fract_y
_atom_site_fract_z
Y1 0.000 0.000 0.000
Y2 0.109 0.500 0.380
Y3 0.209 0.000 0.821
Bi1 0.000 0.000 0.500
S1 0.094 0.500 0.897
S2 0.205 0.000 0.292
# **VASP energy**: -0.514 Ry/atom
# **Formation energy (no corrections)**: -1717 meV/atom
# **Magnetic moment**: 0.000 μB per formula unit



# YBiS3 | Alexandria via LeMat-Bulk | PBE-GGA | relaxed
data_YBiS3
_chemical_formula_sum 'Y2 Bi2 S6'
_cell_length_a 8.032
_cell_length_b 3.865
_cell_length_c 8.349
_cell_angle_alpha 90.00
_cell_angle_beta 101.17
_cell_angle_gamma 90.00
_symmetry_space_group_name_H-M 'P 1 21/m 1'
_symmetry_Int_Tables_number 11
_symmetry_space_group_name_Hall '-P 2yb'
loop_
_atom_site_label
_atom_site_fract_x
_atom_site_fract_y
_atom_site_fract_z
Y1 0.168 0.250 0.176
Bi1 0.336 0.750 0.730
S1 0.077 0.250 0.836
S2 0.289 0.250 0.500
S3 0.395 0.750 0.133
# **VASP energy**: -0.416 Ry/atom
# **Formation energy (no corrections)**: -1111 meV/atom
# **Magnetic moment**: 0.000 μB per formula unit
# **Energy above the lowest structure with this stoichiometry**: 78 meV per atom



# YBiS2 | Alexandria via LeMat-Bulk | PBE-GGA | relaxed
data_YBiS2
_chemical_formula_sum 'Y4 Bi4 S8'
_cell_length_a 7.563
_cell_length_b 7.563
_cell_length_c 7.097
_cell_angle_alpha 90.00
_cell_angle_beta 90.00
_cell_angle_gamma 90.00
_symmetry_space_group_name_H-M 'I -4 2 d'
_symmetry_Int_Tables_number 122
_symmetry_space_group_name_Hall 'I -4 2bw'
loop_
_atom_site_label
_atom_site_fract_x
_atom_site_fract_y
_atom_site_fract_z
Y1 0.000 0.000 0.000
Bi1 0.000 0.000 0.500
S1 0.229 0.250 0.125
# **VASP energy**: -0.410 Ry/atom
# **Formation energy (no corrections)**: -926 meV/atom
# **Magnetic moment**: 0.000 μB per formula unit



# YBi3S6 | Alexandria via LeMat-Bulk | PBE-GGA | relaxed
data_YBi3S6
_chemical_formula_sum 'Y2 Bi6 S12'
_cell_length_a 11.633
_cell_length_b 3.982
_cell_length_c 11.644
_cell_angle_alpha 90.00
_cell_angle_beta 105.83
_cell_angle_gamma 90.00
_symmetry_space_group_name_H-M 'P 1 21/m 1'
_symmetry_Int_Tables_number 11
_symmetry_space_group_name_Hall '-P 2yb'
loop_
_atom_site_label
_atom_site_fract_x
_atom_site_fract_y
_atom_site_fract_z
Y1 0.185 0.250 0.038
Bi1 0.018 0.750 0.301
Bi2 0.334 0.250 0.427
Bi3 0.408 0.750 0.847
S1 0.039 0.750 0.899
S2 0.115 0.250 0.462
S3 0.216 0.750 0.228
S4 0.250 0.250 0.812
S5 0.383 0.750 0.067
S6 0.408 0.750 0.585
# **VASP energy**: -0.372 Ry/atom
# **Formation energy (no corrections)**: -774 meV/atom
# **Magnetic moment**: 0.000 μB per formula unit



# Y6BiS4 | Alexandria via LeMat-Bulk | PBE-GGA | relaxed
data_Y6BiS4
_chemical_formula_sum 'Y24 Bi4 S16'
_cell_length_a 4.028
_cell_length_b 12.933
_cell_length_c 20.160
_cell_angle_alpha 90.00
_cell_angle_beta 90.00
_cell_angle_gamma 90.00
_symmetry_space_group_name_H-M 'C m c m'
_symmetry_Int_Tables_number 63
_symmetry_space_group_name_Hall '-C 2c 2'
loop_
_atom_site_label
_atom_site_fract_x
_atom_site_fract_y
_atom_site_fract_z
Y1 0.000 0.000 0.000
Y2 0.000 0.152 0.250
Y3 0.000 0.272 0.586
Y4 0.000 0.460 0.157
Bi1 0.000 0.164 0.750
S1 0.000 0.094 0.122
S2 0.000 0.361 0.038
# **VASP energy**: -0.515 Ry/atom
# **Formation energy (no corrections)**: -1628 meV/atom
# **Magnetic moment**: 0.000 μB per formula unit



# YBi3S | Alexandria via LeMat-Bulk | PBE-GGA | relaxed
data_YBi3S
_chemical_formula_sum 'Y1 Bi3 S1'
_cell_length_a 5.389
_cell_length_b 5.389
_cell_length_c 5.389
_cell_angle_alpha 90.00
_cell_angle_beta 90.00
_cell_angle_gamma 90.00
_symmetry_space_group_name_H-M 'P m -3 m'
_symmetry_Int_Tables_number 221
_symmetry_space_group_name_Hall '-P 4 2 3'
loop_
_atom_site_label
_atom_site_fract_x
_atom_site_fract_y
_atom_site_fract_z
Y1 0.000 0.000 0.000
Bi1 0.000 0.500 0.500
S1 0.500 0.500 0.500
# **VASP energy**: -0.325 Ry/atom
# **Formation energy (no corrections)**: 19 meV/atom
# **Magnetic moment**: 0.000 μB per formula unit
# **Energy above the lowest structure with this stoichiometry**: 0 meV per atom



# YBi3S | Alexandria via LeMat-Bulk | PBE-GGA | relaxed
data_YBi3S
_chemical_formula_sum 'Y1 Bi3 S1'
_cell_length_a 5.856
_cell_length_b 5.856
_cell_length_c 5.856
_cell_angle_alpha 90.00
_cell_angle_beta 90.00
_cell_angle_gamma 90.00
_symmetry_space_group_name_H-M 'P m -3 m'
_symmetry_Int_Tables_number 221
_symmetry_space_group_name_Hall '-P 4 2 3'
loop_
_atom_site_label
_atom_site_fract_x
_atom_site_fract_y
_atom_site_fract_z
Y1 0.000 0.000 0.000
Bi1 0.000 0.000 0.500
S1 0.500 0.500 0.500
# **VASP energy**: -0.280 Ry/atom
# **Formation energy (no corrections)**: 638 meV/atom
# **Magnetic moment**: 1.356 μB per formula unit
# **Energy above the lowest structure with this stoichiometry**: 619 meV per atom



# YBiS2 | Alexandria via LeMat-Bulk | PBE-GGA | relaxed
data_YBiS2
_chemical_formula_sum 'Y3 Bi3 S6'
_cell_length_a 3.9094
_cell_length_b 3.9094
_cell_length_c 25.8693
_cell_angle_alpha 90.00
_cell_angle_beta 90.00
_cell_angle_gamma 120.00
_symmetry_space_group_name_H-M 'R -3 m'
_symmetry_Int_Tables_number 166
_symmetry_space_group_name_Hall '-R 3 2"'
loop_
_atom_site_label
_atom_site_fract_x
_atom_site_fract_y
_atom_site_fract_z
Y1 0.0000 0.0000 0.0000
Bi1 0.0000 0.0000 0.5000
S1 0.0000 0.0000 0.3921
# **VASP energy**: -0.435 Ry/atom
# **Formation energy (no corrections)**: -1272 meV/atom
# **Magnetic moment**: 0.000 μB per formula unit